(1)
A geometry-optimized ScCd2GeOs structure. Source: Alexandria, functional PBE.

Cell and atoms, written as CIF:
```
data_ScCd2GeOs
_cell_length_a 5.216
_cell_length_b 5.216
_cell_length_c 4.838
_cell_angle_alpha 90.00
_cell_angle_beta 90.00
_cell_angle_gamma 90.00
_symmetry_space_group_name_H-M 'P 4/m m m'
_symmetry_Int_Tables_number 123
_symmetry_space_group_name_Hall '-P 4 2'
loop_
_atom_site_label
_atom_site_type_symbol
_atom_site_fract_x
_atom_site_fract_y
_atom_site_fract_z
Sc1 Sc 0.000 0.000 0.000
Cd1 Cd 0.000 0.500 0.500
Ge1 Ge 0.500 0.500 0.000
Os1 Os 0.000 0.000 0.500
```

DOS(E_F): 0.925 states/eV per atom
formation energy from the elements: 0.592 eV per atom
electronic total energy: -4.21 eV/atom

(2)
A geometry-optimized TaCdGeOs2 structure. Source: Alexandria, functional PBE.

Cell and atoms, written as CIF:
```
data_TaCdGeOs2
_cell_length_a 4.851
_cell_length_b 4.851
_cell_length_c 4.516
_cell_angle_alpha 90.00
_cell_angle_beta 90.00
_cell_angle_gamma 90.00
_symmetry_space_group_name_H-M 'P 4/m m m'
_symmetry_Int_Tables_number 123
_symmetry_space_group_name_Hall '-P 4 2'
loop_
_atom_site_label
_atom_site_type_symbol
_atom_site_fract_x
_atom_site_fract_y
_atom_site_fract_z
Ta1 Ta 0.000 0.000 0.000
Cd1 Cd 0.500 0.500 0.500
Ge1 Ge 0.500 0.500 0.000
Os1 Os 0.000 0.500 0.500
```

DOS(E_F): 1.203 states/eV per atom
formation energy from the elements: 2.468 eV per atom
electronic total energy: -5.50 eV/atom

(3)
A geometry-optimized Cd2GeTeOs structure. Source: Alexandria, functional PBE.

Cell and atoms, written as CIF:
```
data_Cd2GeTeOs
_cell_length_a 5.119
_cell_length_b 5.119
_cell_length_c 4.705
_cell_angle_alpha 90.00
_cell_angle_beta 90.00
_cell_angle_gamma 90.00
_symmetry_space_group_name_H-M 'P 4/m m m'
_symmetry_Int_Tables_number 123
_symmetry_space_group_name_Hall '-P 4 2'
loop_
_atom_site_label
_atom_site_type_symbol
_atom_site_fract_x
_atom_site_fract_y
_atom_site_fract_z
Cd1 Cd 0.000 0.500 0.000
Ge1 Ge 0.000 0.000 0.000
Te1 Te 0.500 0.500 0.500
Os1 Os 0.000 0.000 0.500
```

DOS(E_F): 0.891 states/eV per atom
formation energy from raw total energies: 0.8823 eV per atom
E above lowest polymorph: 0.0000 eV per atom
electronic total energy: -3.28 eV/atom

(4)
A geometry-optimized Cd2GeTeOs structure. Source: Alexandria, functional PBE.

Cell and atoms, written as CIF:
```
data_Cd2GeTeOs
_cell_length_a 4.921
_cell_length_b 4.921
_cell_length_c 5.662
_cell_angle_alpha 90.00
_cell_angle_beta 90.00
_cell_angle_gamma 90.00
_symmetry_space_group_name_H-M 'P 4/m m m'
_symmetry_Int_Tables_number 123
_symmetry_space_group_name_Hall '-P 4 2'
loop_
_atom_site_label
_atom_site_type_symbol
_atom_site_fract_x
_atom_site_fract_y
_atom_site_fract_z
Cd1 Cd 0.000 0.500 0.000
Ge1 Ge 0.000 0.000 0.000
Te1 Te 0.000 0.000 0.500
Os1 Os 0.500 0.500 0.500
```

DOS(E_F): 1.033 states/eV per atom
formation energy from raw total energies: 1.4258 eV per atom
E above lowest polymorph: 0.5435 eV per atom
electronic total energy: -2.74 eV/atom

(5)
A geometry-optimized CdGe2TeOs structure. Source: Alexandria, functional PBE.

Cell and atoms, written as CIF:
```
data_CdGe2TeOs
_cell_length_a 5.300
_cell_length_b 5.300
_cell_length_c 5.322
_cell_angle_alpha 90.00
_cell_angle_beta 90.00
_cell_angle_gamma 90.00
_symmetry_space_group_name_H-M 'P 4/m m m'
_symmetry_Int_Tables_number 123
_symmetry_space_group_name_Hall '-P 4 2'
loop_
_atom_site_label
_atom_site_type_symbol
_atom_site_fract_x
_atom_site_fract_y
_atom_site_fract_z
Cd1 Cd 0.000 0.000 0.000
Ge1 Ge 0.000 0.500 0.500
Te1 Te 0.000 0.000 0.500
Os1 Os 0.500 0.500 0.000
```

DOS(E_F): 1.201 states/eV per atom
formation energy from raw total energies: 1.9086 eV per atom
electronic total energy: -3.00 eV/atom

(6)
A geometry-optimized CdGe2P2 structure. Source: Alexandria, functional PBE.

Cell and atoms, written as CIF:
```
data_CdGe2P2
_cell_length_a 10.745
_cell_length_b 7.840
_cell_length_c 5.937
_cell_angle_alpha 90.00
_cell_angle_beta 123.26
_cell_angle_gamma 90.00
_symmetry_space_group_name_H-M 'C 1 2/c 1'
_symmetry_Int_Tables_number 15
loop_
_symmetry_equiv_pos_as_xyz
'x,y,z'
'-x,-y,-z'
'-x,y,-z+1/2'
'x,-y,z+1/2'
'x+1/2,y+1/2,z'
'-x+1/2,-y+1/2,-z'
'-x+1/2,y+1/2,-z+1/2'
'x+1/2,-y+1/2,z+1/2'
loop_
_atom_site_label
_atom_site_type_symbol
_atom_site_fract_x
_atom_site_fract_y
_atom_site_fract_z
Cd1 Cd 0.000 0.181 0.250
Ge1 Ge 0.000 0.500 0.000
Ge2 Ge 0.250 0.250 0.000
P1 P 0.205 0.001 0.704
```

DOS(E_F): 0.422 states/eV per atom
formation energy from the elements: 0.377 eV per atom
E above lowest polymorph: 0.0668 eV per atom
electronic total energy: -3.82 eV/atom

(7)
A geometry-optimized Cd3GeP structure. Source: Alexandria, functional PBE.

Cell and atoms, written as CIF:
```
data_Cd3GeP
_cell_length_a 5.077
_cell_length_b 5.077
_cell_length_c 5.077
_cell_angle_alpha 90.00
_cell_angle_beta 90.00
_cell_angle_gamma 90.00
_symmetry_space_group_name_H-M 'P m -3 m'
_symmetry_Int_Tables_number 221
_symmetry_space_group_name_Hall '-P 4 2 3'
loop_
_atom_site_label
_atom_site_type_symbol
_atom_site_fract_x
_atom_site_fract_y
_atom_site_fract_z
Cd1 Cd 0.000 0.000 0.500
Ge1 Ge 0.500 0.500 0.500
P1 P 0.000 0.000 0.000
```

DOS(E_F): 1.038 states/eV per atom
formation energy from the elements: 0.515 eV per atom
E above lowest polymorph: 0.0000 eV per atom
electronic total energy: -2.04 eV/atom

(8)
A geometry-optimized Cd2Ge2P structure. Source: Alexandria, functional PBE.

Cell and atoms, written as CIF:
```
data_Cd2Ge2P
_cell_length_a 6.692
_cell_length_b 6.692
_cell_length_c 4.814
_cell_angle_alpha 90.00
_cell_angle_beta 90.00
_cell_angle_gamma 90.00
_symmetry_space_group_name_H-M 'P 4/m b m'
_symmetry_Int_Tables_number 127
_symmetry_space_group_name_Hall '-P 4 2ab'
loop_
_atom_site_label
_atom_site_type_symbol
_atom_site_fract_x
_atom_site_fract_y
_atom_site_fract_z
Cd1 Cd 0.173 0.327 0.000
Ge1 Ge 0.143 0.643 0.500
P1 P 0.000 0.000 0.500
```

DOS(E_F): 0.460 states/eV per atom
formation energy from the elements: 0.309 eV per atom
electronic total energy: -2.99 eV/atom